1.
Here is a PBEsol-optimized structure of Ta2ZnCo from Alexandria via LeMat-Bulk. Energies are from SCAN.

Output
- Crystal system: trigonal
- N(E_F): 0.646 states/eV/atom
- Calculated total energy: -162.9 eV per cell
- DFT formation energy: 269.2 meV per atom

abc: 2.9240 2.9240 8.5085
angles: 80.11 80.11 60.00
Closest atoms and distances in Å follow each position.
Atoms (fractional coordinates):
Ta  0.9891  0.9891  0.0327  3 Co 2.46
Co  0.2509  0.2509  0.2473  3 Ta 2.46, 3 Zn 2.54
Zn  0.5084  0.5084  0.4747  3 Co 2.54, 3 Ta 2.82
Ta  0.7516  0.7516  0.7453  3 Zn 2.82, 9 Ta 2.92-2.93

2.
Here is a PBEsol-optimized structure of Zn4Au3 from Alexandria via LeMat-Bulk. Energies are from SCAN.

Output
- Crystal system: tetragonal
- N(E_F): 0.265 states/eV/atom
- Calculated total energy: -263.1 eV per cell
- DFT formation energy: -218.0 meV per atom

abc: 3.3432 3.3432 9.8993
angles: 99.72 99.72 90.00
Closest atoms and distances in Å follow each position.
Atoms (fractional coordinates):
Zn  0.1425  0.1425  0.2850  6 Au 2.66-2.91, 4 Zn 2.75
Au  0.7060  0.7060  0.4121  6 Zn 2.62-2.91, 4 Au 2.91
Zn  0.8575  0.8575  0.7150  6 Au 2.66-2.91, 4 Zn 2.75
Au  0.2940  0.2940  0.5879  6 Zn 2.62-2.91, 4 Au 2.91
Au  0.0000  0.0000  0.0000  10 Zn 2.72-2.74
Zn  0.5698  0.5698  0.1396  5 Au 2.62-2.72, 5 Zn 2.68-2.75
Zn  0.4302  0.4302  0.8604  5 Au 2.62-2.72, 5 Zn 2.68-2.75

3.
Here is a PBEsol-optimized structure of ScCuBr2 from Alexandria via LeMat-Bulk. Energies are from SCAN.

Output
- Crystal system: monoclinic
- N(E_F): 0.232 states/eV/atom
- Calculated total energy: -70.2 eV per cell
- Energy relative to the lowest polymorph listed for this composition: 28.6 kJ per mole of atoms
- ΔE_f (raw): -0.471 eV per atom

abc: 3.4035 3.4060 7.0650
angles: 90.00 64.80 90.00
Closest atoms and distances in Å follow each position.
Atoms (fractional coordinates):
Cu  0.5000  0.5000  0.5000  8 Br 2.80-3.05
Br  0.2911  0.0000  0.2416  4 Cu 2.80-3.05, 4 Sc 2.85-2.87, 1 Br 3.09
Br  0.7089  0.0000  0.7584  4 Cu 2.80-3.05, 4 Sc 2.85-2.87, 1 Br 3.09
Sc  0.0000  0.5000  0.0000  8 Br 2.85-2.87

4.
Here is a PBEsol-optimized structure of Mg4Hg5 from Alexandria via LeMat-Bulk. Energies are from SCAN.

Output
- Crystal system: hexagonal
- N(E_F): 0.366 states/eV/atom
- Calculated total energy: -726.3 eV per cell
- Energy relative to the lowest polymorph listed for this composition: 0.0 kJ per mole of atoms
- DFT formation energy: -272.0 meV per atom

abc: 6.0311 8.5156 8.5156
angles: 120.00 90.00 90.00
Closest atoms and distances in Å follow each position.
Atoms (fractional coordinates):
Hg  0.0000  0.6667  0.3333  8 Hg 3.02-3.37, 6 Mg 3.09
Hg  0.7500  0.0000  0.7050  7 Mg 2.86-3.08
Mg  0.2500  0.3696  0.3696  9 Hg 2.86-3.09
Hg  0.0000  0.3333  0.6667  8 Hg 3.02-3.37, 6 Mg 3.09
Mg  0.2500  0.6304  0.0000  9 Hg 2.86-3.09
Hg  0.5000  0.6667  0.3333  8 Hg 3.02-3.37, 6 Mg 3.09
Hg  0.7500  0.7050  0.0000  7 Mg 2.86-3.08
Mg  0.7500  0.6304  0.6304  9 Hg 2.86-3.09
Mg  0.0000  0.0000  0.0000  6 Hg 2.93, 2 Mg 3.02
Hg  0.7500  0.2950  0.2950  7 Mg 2.86-3.08
Mg  0.5000  0.0000  0.0000  6 Hg 2.93, 2 Mg 3.02
Mg  0.7500  0.0000  0.3696  9 Hg 2.86-3.09
Hg  0.2500  0.7050  0.7050  7 Mg 2.86-3.08
Mg  0.7500  0.3696  0.0000  9 Hg 2.86-3.09
Hg  0.2500  0.0000  0.2950  7 Mg 2.86-3.08
Hg  0.5000  0.3333  0.6667  8 Hg 3.02-3.37, 6 Mg 3.09
Hg  0.2500  0.2950  0.0000  7 Mg 2.86-3.08
Mg  0.2500  0.0000  0.6304  9 Hg 2.86-3.09

5.
Here is a PBEsol-optimized structure of Ba3TiIr from Alexandria via LeMat-Bulk. Energies are from SCAN.

Output
- Crystal system: cubic
- N(E_F): 0.733 states/eV/atom
- Calculated total energy: -199.3 eV per cell
- DFT formation energy: 1287.5 meV per atom

abc: 5.6532 5.6532 5.6532
angles: 90.00 90.00 90.00
Closest atoms and distances in Å follow each position.
Atoms (fractional coordinates):
Ba  0.0000  0.5000  0.0000  2 Ti 2.83
Ir  0.5000  0.5000  0.5000  12 Ba 4.00
Ti  0.0000  0.0000  0.0000  6 Ba 2.83
Ba  0.5000  0.0000  0.0000  2 Ti 2.83
Ba  0.0000  0.0000  0.5000  2 Ti 2.83

6.
Here is a PBEsol-optimized structure of ZrSiHg from Alexandria via LeMat-Bulk. Energies are from SCAN.

Output
- Crystal system: cubic
- N(E_F): 0.668 states/eV/atom
- Calculated total energy: -109.0 eV per cell
- Energy relative to the lowest polymorph listed for this composition: 0.0 kJ per mole of atoms
- ΔE_f (raw): -0.037 eV per atom

abc: 4.3989 4.3989 4.3989
angles: 60.00 60.00 60.00
Closest atoms and distances in Å follow each position.
Atoms (fractional coordinates):
Zr  0.0000  0.0000  0.0000  4 Si 2.69
Hg  0.5000  0.5000  0.5000  4 Si 2.69
Si  0.2500  0.2500  0.2500  4 Zr 2.69, 4 Hg 2.69